[1]
UGeMo2: relaxed, PBE.

Structure (CIF):
```
data_UGeMo2
_chemical_formula_sum 'U1 Ge1 Mo2'
_space_group_name_H-M_alt 'P 4/m m m'
_space_group_IT_number 123
_space_group_name_Hall '-P 4 2'
_cell_length_a 4.372
_cell_length_b 4.372
_cell_length_c 3.586
_cell_angle_alpha 90.00
_cell_angle_beta 90.00
_cell_angle_gamma 90.00
loop_
_atom_site_label
_atom_site_type_symbol
_atom_site_fract_x
_atom_site_fract_y
_atom_site_fract_z
U1 U 0.000 0.000 0.000
Ge1 Ge 0.500 0.500 0.000
Mo1 Mo 0.000 0.500 0.500
```

Summary:
- energy of formation (meV per atom) = -58

[2]
LiPm2US4: relaxed, PBE.

Structure (CIF):
```
data_LiPm2US4
_chemical_formula_sum 'Li1 Pm2 U1 S4'
_space_group_name_H-M_alt 'P 1 2/m 1'
_space_group_IT_number 10
_space_group_name_Hall '-P 2y'
_cell_length_a 6.833
_cell_length_b 3.937
_cell_length_c 6.843
_cell_angle_alpha 90.00
_cell_angle_beta 109.32
_cell_angle_gamma 90.00
loop_
_atom_site_label
_atom_site_type_symbol
_atom_site_fract_x
_atom_site_fract_y
_atom_site_fract_z
Li1 Li 0.000 0.000 0.000
Pm1 Pm 0.500 0.000 0.500
Pm2 Pm 0.500 0.500 0.000
U1 U 0.000 0.500 0.500
S1 S 0.235 0.500 0.243
S2 S 0.236 0.000 0.750
```

Summary:
- formation energy (no corrections) (eV/atom) = -1.720

[3]
LiLuCl2: relaxed, PBE.

Structure (CIF):
```
data_LiLuCl2
_chemical_formula_sum 'Li3 Lu3 Cl6'
_space_group_name_H-M_alt 'R -3 m'
_space_group_IT_number 166
_space_group_name_Hall '-R 3 2"'
_cell_length_a 3.6985
_cell_length_b 3.6985
_cell_length_c 23.9076
_cell_angle_alpha 90.00
_cell_angle_beta 90.00
_cell_angle_gamma 120.00
loop_
_atom_site_label
_atom_site_type_symbol
_atom_site_fract_x
_atom_site_fract_y
_atom_site_fract_z
Li1 Li 0.0000 0.0000 0.0000
Lu1 Lu 0.0000 0.0000 0.5000
Cl1 Cl 0.0000 0.0000 0.3923
```

Summary:
- formation energy (no corrections) (eV/atom) = -1.492

[4]
Y2NiBr: relaxed, PBE.

Structure (CIF):
```
data_Y2NiBr
_chemical_formula_sum 'Y6 Ni3 Br3'
_space_group_name_H-M_alt 'R -3 m'
_space_group_IT_number 166
_space_group_name_Hall '-R 3 2"'
_cell_length_a 3.9467
_cell_length_b 3.9467
_cell_length_c 22.6157
_cell_angle_alpha 90.00
_cell_angle_beta 90.00
_cell_angle_gamma 120.00
loop_
_atom_site_label
_atom_site_type_symbol
_atom_site_fract_x
_atom_site_fract_y
_atom_site_fract_z
Y1 Y 0.0000 0.0000 0.2311
Ni1 Ni 0.0000 0.0000 0.5000
Br1 Br 0.0000 0.0000 0.0000
```

Summary:
- formation energy (no corrections) (eV/atom) = -0.803
- offset from the most stable computed form (meV per atom) = 0.0

[5]
BaAlHg3: relaxed, PBE.

Structure (CIF):
```
data_BaAlHg3
_chemical_formula_sum 'Ba1 Al1 Hg3'
_space_group_name_H-M_alt 'P m -3 m'
_space_group_IT_number 221
_space_group_name_Hall '-P 4 2 3'
_cell_length_a 6.382
_cell_length_b 6.382
_cell_length_c 6.382
_cell_angle_alpha 90.00
_cell_angle_beta 90.00
_cell_angle_gamma 90.00
loop_
_atom_site_label
_atom_site_type_symbol
_atom_site_fract_x
_atom_site_fract_y
_atom_site_fract_z
Ba1 Ba 0.000 0.000 0.000
Al1 Al 0.500 0.500 0.500
Hg1 Hg 0.000 0.000 0.500
```

Summary:
- energy of formation (meV per atom) = 602
- offset from the most stable computed form (meV per atom) = 848.1

[6]
Y4MgP: relaxed, PBE.

Structure (CIF):
```
data_Y4MgP
_chemical_formula_sum 'Y16 Mg4 P4'
_space_group_name_H-M_alt 'F -4 3 m'
_space_group_IT_number 216
_space_group_name_Hall 'F -4 2 3'
_cell_length_a 8.901
_cell_length_b 8.901
_cell_length_c 8.901
_cell_angle_alpha 90.00
_cell_angle_beta 90.00
_cell_angle_gamma 90.00
loop_
_atom_site_label
_atom_site_type_symbol
_atom_site_fract_x
_atom_site_fract_y
_atom_site_fract_z
Y1 Y 0.125 0.125 0.125
Mg1 Mg 0.250 0.250 0.750
P1 P 0.000 0.000 0.500
```

Summary:
- energy of formation (meV per atom) = 450

[7]
Nd2TeO: relaxed, PBE.

Structure (CIF):
```
data_Nd2TeO
_chemical_formula_sum 'Nd6 Te3 O3'
_space_group_name_H-M_alt 'R -3 m'
_space_group_IT_number 166
_space_group_name_Hall '-R 3 2"'
_cell_length_a 3.9200
_cell_length_b 3.9200
_cell_length_c 21.0520
_cell_angle_alpha 90.00
_cell_angle_beta 90.00
_cell_angle_gamma 120.00
loop_
_atom_site_label
_atom_site_type_symbol
_atom_site_fract_x
_atom_site_fract_y
_atom_site_fract_z
Nd1 Nd 0.0000 0.0000 0.2277
Te1 Te 0.0000 0.0000 0.0000
O1 O 0.0000 0.0000 0.5000
```

Summary:
- formation energy (no corrections) (eV/atom) = -1.945
- offset from the most stable computed form (meV per atom) = 76.7

[8]
TiSiAg2O5: relaxed, PBE.

Structure (CIF):
```
data_TiSiAg2O5
_chemical_formula_sum 'Ti2 Si2 Ag4 O10'
_space_group_name_H-M_alt 'P 4/n m m'
_space_group_IT_number 129
_cell_length_a 6.556
_cell_length_b 6.556
_cell_length_c 5.534
_cell_angle_alpha 90.00
_cell_angle_beta 90.00
_cell_angle_gamma 90.00
loop_
_space_group_symop_operation_xyz
'x,y,z'
'-x,-y,-z'
'-y+1/2,x,z'
'y+1/2,-x,-z'
'-x+1/2,-y+1/2,z'
'x+1/2,y+1/2,-z'
'y,-x+1/2,z'
'-y,x+1/2,-z'
'x+1/2,-y,-z'
'-x+1/2,y,z'
'-y,-x,-z'
'y,x,z'
'-x,y+1/2,-z'
'x,-y+1/2,z'
'y+1/2,x+1/2,-z'
'-y+1/2,-x+1/2,z'
loop_
_atom_site_label
_atom_site_type_symbol
_atom_site_fract_x
_atom_site_fract_y
_atom_site_fract_z
Ti1 Ti 0.250 0.250 0.064
Si1 Si 0.250 0.750 0.000
Ag1 Ag 0.000 0.000 0.500
O1 O 0.043 0.750 0.831
O2 O 0.250 0.250 0.755
```

Summary:
- formation energy (no corrections) (eV/atom) = -1.913

[9]
CeBe2AgH8: relaxed, PBE.

Structure (CIF):
```
data_CeBe2AgH8
_chemical_formula_sum 'Ce3 Be6 Ag3 H24'
_space_group_name_H-M_alt 'R -3'
_space_group_IT_number 148
_space_group_name_Hall '-R 3'
_cell_length_a 4.3896
_cell_length_b 4.3896
_cell_length_c 19.1702
_cell_angle_alpha 90.00
_cell_angle_beta 90.00
_cell_angle_gamma 120.00
loop_
_atom_site_label
_atom_site_type_symbol
_atom_site_fract_x
_atom_site_fract_y
_atom_site_fract_z
Ce1 Ce 0.0000 0.0000 0.0000
Be1 Be 0.0000 0.0000 0.2487
Ag1 Ag 0.0000 0.0000 0.5000
H1 H 0.0000 0.0000 0.3263
H2 H 0.0032 0.3739 0.5662
```

[10]
SrTaMnCl2: relaxed, PBE.

Structure (CIF):
```
data_SrTaMnCl2
_chemical_formula_sum 'Sr1 Ta1 Mn1 Cl2'
_space_group_name_H-M_alt 'P 4/m m m'
_space_group_IT_number 123
_space_group_name_Hall '-P 4 2'
_cell_length_a 4.774
_cell_length_b 4.774
_cell_length_c 6.994
_cell_angle_alpha 90.00
_cell_angle_beta 90.00
_cell_angle_gamma 90.00
loop_
_atom_site_label
_atom_site_type_symbol
_atom_site_fract_x
_atom_site_fract_y
_atom_site_fract_z
Sr1 Sr 0.000 0.000 0.000
Ta1 Ta 0.500 0.500 0.000
Mn1 Mn 0.000 0.000 0.500
Cl1 Cl 0.000 0.500 0.500
```

Summary:
- formation energy (no corrections) (eV/atom) = 0.704

[11]
TlAgC2O6: relaxed, PBE.

Structure (CIF):
```
data_TlAgC2O6
_chemical_formula_sum 'Tl3 Ag3 C6 O18'
_space_group_name_H-M_alt 'R -3'
_space_group_IT_number 148
_space_group_name_Hall '-R 3'
_cell_length_a 5.0711
_cell_length_b 5.0711
_cell_length_c 17.5272
_cell_angle_alpha 90.00
_cell_angle_beta 90.00
_cell_angle_gamma 120.00
loop_
_atom_site_label
_atom_site_type_symbol
_atom_site_fract_x
_atom_site_fract_y
_atom_site_fract_z
Tl1 Tl 0.0000 0.0000 0.0000
Ag1 Ag 0.0000 0.0000 0.5000
C1 C 0.0000 0.0000 0.2592
O1 O 0.0007 0.2566 0.7418
```

Summary:
- formation energy (no corrections) (eV/atom) = -0.993

[12]
SiHgMo: relaxed, PBE.

Structure (CIF):
```
data_SiHgMo
_chemical_formula_sum 'Si1 Hg1 Mo1'
_space_group_name_H-M_alt 'P 3 m 1'
_space_group_IT_number 156
_space_group_name_Hall 'P 3 -2"'
_cell_length_a 3.0428
_cell_length_b 3.0428
_cell_length_c 6.6128
_cell_angle_alpha 90.00
_cell_angle_beta 90.00
_cell_angle_gamma 120.00
loop_
_atom_site_label
_atom_site_type_symbol
_atom_site_fract_x
_atom_site_fract_y
_atom_site_fract_z
Si1 Si 0.0000 0.0000 0.0000
Hg1 Hg 0.6667 0.3333 0.3651
Mo1 Mo 0.3333 0.6667 0.7291
```

Summary:
- formation energy (no corrections) (eV/atom) = 0.439
- offset from the most stable computed form (meV per atom) = 417.3

| no. | density (g/cm3) | calculated volume (A^3/atom) | VASP energy (eV/atom) |
| --- | --- | --- | --- |
| 1 | 12.2 | 17.139 | -9.45 |
| 2 | 6.3 | 21.717 | -6.62 |
| 3 | 4.4 | 23.601 | -4.02 |
| 4 | 5.2 | 25.427 | -5.90 |
| 5 | 4.9 | 51.996 | -0.71 |
| 6 | 3.9 | 29.379 | -5.03 |
| 7 | 7.7 | 23.346 | -6.35 |
| 8 | 5.2 | 13.215 | -6.78 |
| 9 | 4.3 | 8.886 | -3.71 |
| 10 | 4.1 | 31.877 | -4.58 |
| 11 | 5.5 | 13.012 | -6.33 |
| 12 | 10.2 | 17.674 | -5.08 |